MoOs2Pb: optimized geometry, GGA-PBE.

Values from the calculation:
* density of states at the Fermi level: 1.0990 states/eV/atom
* DFT formation energy: 872 meV per atom
* final energy: -67.02 eV for the cell shown

Cell: 3.1083 4.6970 9.1771 Å, 90.00 90.00 90.00°
Last column: nearest neighbours and their distance in Å.
Space group Immm (No. 71)
One atom of each set of equivalent atoms:
1 Mo 0.0000 0.0000 0.0000 x2  4 Os 2.77, 4 Pb 2.82
2 Os 0.0000 0.5000 0.2502 x4  2 Mo 2.77, 2 Pb 2.77, 4 Os 2.82
3 Pb 0.0000 0.0000 0.5000 x2  4 Os 2.77, 4 Mo 2.82